(1)
4
Lattice="-7.664 -3.949 2.928 -6.682 -6.126 0.843 -5.545 -6.139 3.802" Properties=species:S:1:pos:R:3 comment="ReOsPb2, optimized geometry, DFT GGA-PBE" dos_ef_per_ev_cell=5.0 formation_energy_mev_per_atom=1242 de_polymorph_kj_per_mol_atoms=79.35 total_magnetization_mub_per_cell=0.00 mass_density_g_cm3=16.91 pbc="T T T"
Os -14.918 -12.160 5.679
Pb -0.028 -0.023 0.011
Pb -9.917 -8.084 3.775
Re -4.973 -4.053 1.893

=====

(2)
4
Lattice="3.787 0.000 0.000 0.000 4.205 0.000 0.000 0.000 4.205" Properties=species:S:1:pos:R:3 comment="ReOs2Pb, optimized geometry, DFT GGA-PBE" dos_ef_per_ev_cell=5.9 formation_energy_mev_per_atom=1153 total_magnetization_mub_per_cell=1.86 mass_density_g_cm3=19.19 pbc="T T T"
Os 0.000 0.000 0.000
Os 0.000 2.102 2.102
Pb 1.893 2.102 0.000
Re 1.893 0.000 2.102

=====

(3)
8
Lattice="-4.348 0.478 4.418 -4.219 -2.385 -3.894 -3.116 -5.741 1.929" Properties=species:S:1:pos:R:3 comment="Re2OsPb, optimized geometry, DFT GGA-PBE" dos_ef_per_ev_cell=4.1 formation_energy_mev_per_atom=1688 total_magnetization_mub_per_cell=0.00 mass_density_g_cm3=12.71 pbc="T T T"
Pb 0.000 0.000 0.000
Pb -5.874 -3.108 3.305
Re -3.831 -1.456 2.561
Re -4.152 -2.845 -1.204
Re -5.737 -5.126 1.471
Re -9.647 -5.868 2.078
Os -4.284 -0.953 0.262
Os -5.810 -4.539 -0.851

=====

(4)
4
Lattice="-0.883 -0.071 -4.812 -0.392 -2.866 -3.946 -5.006 -0.906 -0.079" Properties=species:S:1:pos:R:3 comment="Re2OsPb, optimized geometry, DFT GGA-PBE" dos_ef_per_ev_cell=3.0 formation_energy_mev_per_atom=808 total_magnetization_mub_per_cell=0.00 mass_density_g_cm3=18.56 pbc="T T T"
Os -2.846 -1.911 -4.553
Pb -4.763 -2.886 -6.610
Re -1.394 -2.912 -8.609
Re -1.694 -0.992 -2.240

=====

(5)
4
Lattice="4.436 -0.007 0.081 3.325 2.937 0.081 0.885 0.334 7.482" Properties=species:S:1:pos:R:3 comment="ReOsPb2, optimized geometry, DFT GGA-PBE" dos_ef_per_ev_cell=2.4 formation_energy_mev_per_atom=637 de_polymorph_kj_per_mol_atoms=21.00 total_magnetization_mub_per_cell=0.00 mass_density_g_cm3=13.48 pbc="T T T"
Os 6.498 2.453 5.173
Pb 0.955 0.361 6.962
Pb 2.084 0.787 2.423
Re 4.317 1.630 4.390

=====

(6)
4
Lattice="-1.039 -3.282 -3.410 3.211 -2.093 2.964 -2.191 -1.022 1.652" Properties=species:S:1:pos:R:3 comment="ReOs2Pb, optimized geometry, DFT GGA-PBE" dos_ef_per_ev_cell=4.8 formation_energy_mev_per_atom=968 total_magnetization_mub_per_cell=0.02 mass_density_g_cm3=19.47 pbc="T T T"
Os 0.000 0.000 0.000
Os 1.086 -2.687 -0.223
Pb -1.615 -2.152 -0.879
Re 0.510 -1.558 2.308